# Y4MgAg, PBEsol geometry, DFT meta-GGA SCAN
data_Y4MgAg
_chemical_formula_sum 'Y4 Mg1 Ag1'
_space_group_name_H-M_alt 'P 1'
_space_group_IT_number 1
_cell_length_a 6.2162
_cell_length_b 6.2162
_cell_length_c 6.2162
_cell_angle_alpha 60.00
_cell_angle_beta 60.00
_cell_angle_gamma 60.00
loop_
_space_group_symop_operation_xyz
'x,y,z'
loop_
_atom_site_label
_atom_site_type_symbol
_atom_site_fract_x
_atom_site_fract_y
_atom_site_fract_z
Ag1 Ag 0.7500 0.7500 0.7500
Mg1 Mg 0.0000 0.0000 0.0000
Y1 Y 0.3749 0.3749 0.3749
Y2 Y 0.3749 0.3749 0.8754
Y3 Y 0.8754 0.3749 0.3749
Y4 Y 0.3749 0.8754 0.3749
# Fermi-level density of states in states/eV per cell: 5.43
# Energy relative to the elements in meV per atom: 424